Si2W3: relaxed, PBE.

Cell lengths 4.7924, 8.9397, 13.9540 Å; angles 90.00, 90.00, 90.00 degrees
Space group Fddd (No. 70, origin choice 2)
Asymmetric unit:
Si (0.1250, 0.1250, 0.3200) x16
W (0.1250, 0.1250, 0.1250) x8
W (0.1250, 0.1250, 0.5138) x16

Output
E_form (uncorrected): 0.03 eV/atom
size of the total moment: 0.00 μB/f.u.
volume: 14.946 A^3/atom
DOS(E_F): 2.37 states/eV/f.u.
energy relative to the lowest polymorph listed for this composition: 0.034 eV/atom
E_tot: -396.3 eV for the cell shown